No. 1
{
  "formula": "Ba2As3Pd6",
  "functional": "GGA-PBE",
  "state": "optimized geometry",
  "lattice": [[4.517, 0.000, 0.000], [0.000, 7.738, 0.000], [0.000, -3.869, 6.701]],
  "species": ["Ba", "Ba", "As", "As", "As", "Pd", "Pd", "Pd", "Pd", "Pd", "Pd"],
  "fractional_positions": [[0.000, 0.667, 0.333], [0.000, 0.333, 0.667], [0.500, 0.354, 0.354], [0.500, 0.646, 0.000], [0.500, 0.000, 0.646], [0.500, 0.710, 0.710], [0.500, 0.000, 0.290], [0.000, 0.203, 0.203], [0.000, 0.797, 0.000], [0.500, 0.290, 0.000], [0.000, 0.000, 0.797]],
  "crystal_system": "hexagonal",
  "formation_enthalpy_0k_kj_per_mol_fu": -683,
  "spacegroup": "No. 189"
}


No. 2
{
  "formula": "LiNiBr",
  "functional": "GGA-PBE",
  "state": "optimized geometry",
  "lattice": [[3.373, 0.000, 0.008], [0.000, 3.373, 0.000], [-0.023, 0.000, 9.584]],
  "species": ["Ni", "Ni", "Br", "Br", "Li", "Li"],
  "fractional_positions": [[0.127, 0.000, 0.793], [0.627, 0.500, 0.715], [0.128, 0.000, 0.102], [0.636, 0.500, 0.455], [0.137, 0.000, 0.369], [0.628, 0.500, 0.997]],
  "e_form_raw_mev_per_atom": -452,
  "crystal_system": "monoclinic",
  "spacegroup": "No. 6"
}


No. 3
{
  "formula": "TbPm2Tm4",
  "functional": "GGA-PBE",
  "state": "optimized geometry",
  "lattice": [[6.463, 0.691, -1.869], [-3.039, 5.257, -2.979], [0.400, -0.691, 6.716]],
  "species": ["Tb", "Pm", "Pm", "Tm", "Tm", "Tm", "Tm"],
  "fractional_positions": [[0.000, 0.000, 0.000], [0.500, 0.250, 0.750], [0.500, 0.750, 0.250], [0.000, 0.303, 0.697], [0.000, 0.697, 0.303], [0.607, 0.303, 0.303], [0.393, 0.697, 0.697]],
  "crystal_system": "tetragonal",
  "formation_enthalpy_0k_kj_per_mol_fu": 169,
  "spacegroup": "No. 139"
}


No. 4
{
  "formula": "HoGa3Tc3",
  "functional": "GGA-PBE",
  "state": "optimized geometry",
  "lattice": [[6.760, 0.000, 0.000], [0.000, 6.760, 0.000], [0.000, 0.000, 6.760]],
  "species": ["Ho", "Ho", "Ga", "Ga", "Ga", "Ga", "Ga", "Ga", "Tc", "Tc", "Tc", "Tc", "Tc", "Tc"],
  "fractional_positions": [[0.500, 0.500, 0.500], [0.000, 0.000, 0.000], [0.250, 0.000, 0.500], [0.000, 0.500, 0.250], [0.500, 0.750, 0.000], [0.750, 0.000, 0.500], [0.000, 0.500, 0.750], [0.500, 0.250, 0.000], [0.000, 0.250, 0.500], [0.000, 0.750, 0.500], [0.500, 0.000, 0.750], [0.750, 0.500, 0.000], [0.500, 0.000, 0.250], [0.250, 0.500, 0.000]],
  "crystal_system": "cubic",
  "formation_enthalpy_0k_kj_per_mol_fu": 499,
  "spacegroup": "No. 223"
}


No. 5
{
  "formula": "ErScTlIr",
  "functional": "GGA-PBE",
  "state": "optimized geometry",
  "lattice": [[-0.686, -2.901, -1.345], [1.725, -1.494, 2.343], [-6.710, -0.543, 4.595]],
  "species": ["Er", "Sc", "Tl", "Ir"],
  "fractional_positions": [[0.500, 0.500, 0.779], [0.500, 0.500, 0.366], [0.000, 0.000, 0.083], [0.000, 0.000, 0.557]],
  "crystal_system": "tetragonal",
  "formation_enthalpy_0k_kj_per_mol_fu": -245,
  "spacegroup": "No. 99"
}


No. 6
{
  "formula": "AcOs2O7F2",
  "functional": "GGA-PBE",
  "state": "optimized geometry",
  "lattice": [[-1.071, 3.588, 1.292], [-2.558, 0.320, -3.008], [-5.045, -5.951, 6.269]],
  "species": ["Ac", "Os", "Os", "O", "O", "O", "O", "O", "O", "O", "F", "F"],
  "fractional_positions": [[0.000, 0.000, 0.000], [0.387, 0.387, 0.774], [0.613, 0.613, 0.226], [0.406, 0.906, 0.811], [0.701, 0.701, 0.402], [0.094, 0.594, 0.189], [0.594, 0.094, 0.189], [0.299, 0.299, 0.598], [0.906, 0.406, 0.811], [0.500, 0.500, 0.000], [0.250, 0.750, 0.500], [0.750, 0.250, 0.500]],
  "e_form_raw_mev_per_atom": -1228,
  "crystal_system": "tetragonal",
  "spacegroup": "No. 139"
}


No. 7
{
  "formula": "P2OsAuCl",
  "functional": "GGA-PBE",
  "state": "optimized geometry",
  "lattice": [[4.536, 0.000, 0.000], [0.000, 4.536, 0.000], [0.000, 0.000, 5.020]],
  "species": ["Os", "Au", "P", "P", "Cl"],
  "fractional_positions": [[0.000, 0.000, 0.000], [0.500, 0.500, 0.500], [0.000, 0.500, 0.000], [0.500, 0.000, 0.000], [0.000, 0.000, 0.500]],
  "e_form_raw_mev_per_atom": 640,
  "crystal_system": "tetragonal",
  "spacegroup": "No. 123"
}


No. 8
{
  "formula": "La4Tm3",
  "functional": "GGA-PBE",
  "state": "optimized geometry",
  "lattice": [[3.523, 0.000, 0.000], [0.000, 8.854, -0.458], [-1.762, -4.456, 7.939]],
  "species": ["La", "La", "La", "La", "Tm", "Tm", "Tm"],
  "fractional_positions": [[0.082, 0.451, 0.163], [0.918, 0.549, 0.837], [0.359, 0.128, 0.718], [0.641, 0.872, 0.282], [0.000, 0.000, 0.000], [0.220, 0.298, 0.439], [0.780, 0.702, 0.561]],
  "crystal_system": "monoclinic",
  "formation_enthalpy_0k_kj_per_mol_fu": 89,
  "spacegroup": "No. 12"
}


No. 9
{
  "formula": "MoHIr",
  "functional": "GGA-PBE",
  "state": "optimized geometry",
  "lattice": [[0.199, 2.787, -0.330], [0.006, -0.516, -4.349], [-5.357, -0.996, 0.346]],
  "species": ["Mo", "Mo", "H", "H", "Ir", "Ir"],
  "fractional_positions": [[0.274, 0.131, 0.011], [0.956, 0.600, 0.374], [0.327, 0.595, 0.116], [0.903, 0.135, 0.269], [0.685, 0.624, 0.832], [0.545, 0.107, 0.553]],
  "crystal_system": "monoclinic",
  "spacegroup": "No. 12",
  "total_energy_ev_per_atom": -7.801
}


No. 10
{
  "formula": "HgSe2O5",
  "functional": "GGA-PBE",
  "state": "optimized geometry",
  "lattice": [[7.021, 0.000, 0.000], [0.000, 6.939, 0.000], [0.000, 0.000, 11.388]],
  "species": ["Hg", "Hg", "Hg", "Hg", "Se", "Se", "Se", "Se", "Se", "Se", "Se", "Se", "O", "O", "O", "O", "O", "O", "O", "O", "O", "O", "O", "O", "O", "O", "O", "O", "O", "O", "O", "O"],
  "fractional_positions": [[0.750, 0.000, 0.941], [0.250, 0.500, 0.559], [0.250, 0.000, 0.059], [0.750, 0.500, 0.441], [0.060, 0.370, 0.840], [0.560, 0.130, 0.660], [0.940, 0.870, 0.660], [0.440, 0.630, 0.840], [0.940, 0.630, 0.160], [0.440, 0.870, 0.340], [0.060, 0.130, 0.340], [0.560, 0.370, 0.160], [0.250, 0.000, 0.424], [0.750, 0.500, 0.076], [0.750, 0.000, 0.576], [0.250, 0.500, 0.924], [0.683, 0.284, 0.276], [0.183, 0.216, 0.224], [0.317, 0.784, 0.224], [0.817, 0.716, 0.276], [0.317, 0.716, 0.724], [0.817, 0.784, 0.776], [0.683, 0.216, 0.776], [0.183, 0.284, 0.724], [0.045, 0.325, 0.434], [0.545, 0.175, 0.066], [0.955, 0.825, 0.066], [0.455, 0.675, 0.434], [0.955, 0.675, 0.566], [0.455, 0.825, 0.934], [0.045, 0.175, 0.934], [0.545, 0.325, 0.566]],
  "e_form_raw_mev_per_atom": -639,
  "crystal_system": "orthorhombic",
  "spacegroup": "No. 60"
}


No. 11
{
  "formula": "Sr3Cu5O12",
  "functional": "GGA-PBE",
  "state": "optimized geometry",
  "lattice": [[10.995, 0.000, 0.000], [-3.665, 10.366, 0.000], [-3.665, -5.183, 8.977]],
  "species": ["Sr", "Sr", "Sr", "Sr", "Sr", "Sr", "Sr", "Sr", "Sr", "Sr", "Sr", "Sr", "Cu", "Cu", "Cu", "Cu", "Cu", "Cu", "Cu", "Cu", "Cu", "Cu", "Cu", "Cu", "Cu", "Cu", "Cu", "Cu", "Cu", "Cu", "Cu", "Cu", "O", "O", "O", "O", "O", "O", "O", "O", "O", "O", "O", "O", "O", "O", "O", "O", "O", "O", "O", "O", "O", "O", "O", "O", "O", "O", "O", "O", "O", "O", "O", "O", "O", "O", "O", "O", "O", "O", "O", "O", "O", "O", "O", "O", "O", "O", "O", "O"],
  "fractional_positions": [[0.750, 0.375, 0.125], [0.875, 0.750, 0.125], [0.375, 0.750, 0.625], [0.250, 0.125, 0.375], [0.875, 0.125, 0.250], [0.375, 0.625, 0.250], [0.625, 0.375, 0.750], [0.125, 0.875, 0.750], [0.750, 0.875, 0.625], [0.625, 0.250, 0.375], [0.125, 0.250, 0.875], [0.250, 0.625, 0.875], [0.125, 0.375, 0.250], [0.000, 0.500, 0.000], [0.000, 0.000, 0.000], [0.375, 0.250, 0.125], [0.500, 0.000, 0.500], [0.500, 0.500, 0.000], [0.125, 0.750, 0.375], [0.750, 0.125, 0.875], [0.750, 0.625, 0.375], [0.375, 0.125, 0.750], [0.625, 0.875, 0.250], [0.500, 0.500, 0.500], [0.500, 0.000, 0.000], [0.000, 0.000, 0.500], [0.250, 0.375, 0.625], [0.250, 0.875, 0.125], [0.000, 0.500, 0.500], [0.875, 0.250, 0.625], [0.625, 0.750, 0.875], [0.875, 0.625, 0.750], [0.690, 0.111, 0.013], [0.323, 0.513, 0.402], [0.987, 0.389, 0.310], [0.513, 0.190, 0.111], [0.579, 0.690, 0.677], [0.987, 0.598, 0.177], [0.323, 0.810, 0.421], [0.098, 0.921, 0.111], [0.598, 0.987, 0.677], [0.690, 0.579, 0.177], [0.810, 0.487, 0.389], [0.823, 0.902, 0.013], [0.111, 0.690, 0.513], [0.389, 0.402, 0.079], [0.079, 0.902, 0.389], [0.421, 0.111, 0.598], [0.079, 0.177, 0.190], [0.487, 0.677, 0.098], [0.823, 0.921, 0.310], [0.111, 0.421, 0.098], [0.389, 0.987, 0.810], [0.598, 0.611, 0.421], [0.902, 0.823, 0.513], [0.810, 0.323, 0.921], [0.402, 0.389, 0.579], [0.098, 0.177, 0.487], [0.190, 0.677, 0.079], [0.177, 0.079, 0.690], [0.611, 0.013, 0.190], [0.889, 0.579, 0.902], [0.513, 0.323, 0.902], [0.579, 0.889, 0.402], [0.921, 0.823, 0.810], [0.921, 0.098, 0.611], [0.889, 0.310, 0.487], [0.177, 0.098, 0.987], [0.611, 0.598, 0.921], [0.402, 0.013, 0.323], [0.310, 0.421, 0.823], [0.190, 0.513, 0.611], [0.902, 0.079, 0.889], [0.677, 0.190, 0.579], [0.487, 0.810, 0.889], [0.013, 0.402, 0.823], [0.421, 0.310, 0.323], [0.013, 0.611, 0.690], [0.677, 0.487, 0.598], [0.310, 0.889, 0.987]],
  "e_form_raw_mev_per_atom": -1003,
  "crystal_system": "cubic",
  "spacegroup": "No. 230"
}


No. 12
{
  "formula": "Pt2RhBr",
  "functional": "GGA-PBE",
  "state": "optimized geometry",
  "lattice": [[-2.393, -4.358, -0.334], [4.884, -0.628, 0.765], [-0.441, 0.025, 2.835]],
  "species": ["Rh", "Br", "Pt", "Pt"],
  "fractional_positions": [[0.500, 0.000, 0.500], [0.000, 0.500, 0.500], [0.000, 0.000, 0.000], [0.500, 0.500, 0.000]],
  "e_form_raw_mev_per_atom": 651,
  "crystal_system": "orthorhombic",
  "spacegroup": "No. 65"
}


- Number 1 is which compound?
  Ba2As3Pd6